1.
! Zr2Pt5Rh, optimized geometry, DFT PBE-GGA; values from VASP
&SYSTEM
  ibrav = 0, nat = 16, ntyp = 3
/
ATOMIC_SPECIES
Pt 195.08 Pt.upf
Zr 91.22 Zr.upf
Rh 102.91 Rh.upf
ATOMIC_POSITIONS crystal
Pt 0.0000 0.9943 0.7498
Pt 0.0000 0.0057 0.2502
Zr 0.5000 0.7580 0.3778
Pt 0.0000 0.5057 0.2498
Pt 0.5000 0.7524 0.1248
Zr 0.5000 0.7420 0.8778
Zr 0.5000 0.2420 0.6222
Zr 0.5000 0.2580 0.1222
Pt 0.5000 0.2524 0.3752
Rh 0.0000 0.5000 0.0000
Rh 0.0000 0.0000 0.5000
Pt 0.5000 0.7476 0.6248
Pt 0.0000 0.4943 0.7502
Pt 0.0000 0.5000 0.5000
Pt 0.5000 0.2476 0.8752
Pt 0.0000 0.0000 0.0000
CELL_PARAMETERS angstrom
4.0114 0.0000 0.0000
0.0000 5.7200 0.0000
0.0000 0.0000 11.4497
! Energy relative to the elements = -1.01 eV per atom
! Total magnetic moment = 0.00 μB/f.u.
! Theoretical density = 15.9 g/cm3

2.
! ZrPtRh3, optimized geometry, DFT PBE-GGA; values from VASP
&SYSTEM
  ibrav = 0, nat = 5, ntyp = 3
/
ATOMIC_SPECIES
Rh 102.91 Rh.upf
Zr 91.22 Zr.upf
Pt 195.08 Pt.upf
ATOMIC_POSITIONS crystal
Rh 0.0000 0.0000 0.5000
Zr 0.5000 0.5000 0.5000
Rh 0.5000 0.0000 0.0000
Rh 0.0000 0.5000 0.0000
Pt 0.0000 0.0000 0.0000
CELL_PARAMETERS angstrom
4.7379 0.0000 0.0000
0.0000 4.7379 0.0000
0.0000 0.0000 4.7379
! Energy relative to the elements = 1.01 eV per atom
! Total magnetic moment = 1.40 μB/f.u.
! Theoretical density = 9.3 g/cm3
! E above lowest polymorph = 1496 meV/atom

3.
! ZrPtRh2, optimized geometry, DFT PBE-GGA; values from VASP
&SYSTEM
  ibrav = 0, nat = 4, ntyp = 3
/
ATOMIC_SPECIES
Pt 195.08 Pt.upf
Zr 91.22 Zr.upf
Rh 102.91 Rh.upf
ATOMIC_POSITIONS crystal
Pt 0.7500 0.7500 0.7499
Zr 0.5000 0.5000 0.5000
Rh 0.0000 0.0000 0.0001
Rh 0.2499 0.2499 0.2500
CELL_PARAMETERS angstrom
4.8635 -0.5235 0.4569
3.6294 3.2794 0.4569
1.3392 0.4346 3.7429
! Energy relative to the elements = -0.71 eV per atom
! Total magnetic moment = 0.00 μB/f.u.
! Theoretical density = 12.7 g/cm3

4.
! ZrPt2Rh4, optimized geometry, DFT PBE-GGA; values from VASP
&SYSTEM
  ibrav = 0, nat = 14, ntyp = 3
/
ATOMIC_SPECIES
Rh 102.91 Rh.upf
Pt 195.08 Pt.upf
Zr 91.22 Zr.upf
ATOMIC_POSITIONS crystal
Rh 0.9963 0.9696 0.6367
Rh 0.0020 0.6520 0.6518
Pt 0.0207 0.3170 0.6462
Pt 0.6198 0.4736 0.8511
Pt 0.3269 0.7223 0.0765
Pt 0.4079 0.4850 0.4468
Rh 0.5960 0.1521 0.8648
Rh 0.6157 0.8342 0.8437
Rh 0.8093 0.6280 0.2327
Rh 0.7674 0.2807 0.2386
Rh 0.4089 0.1439 0.4509
Rh 0.1830 0.2970 0.0230
Zr 0.4212 0.8090 0.4274
Zr 0.0748 0.9857 0.1099
CELL_PARAMETERS angstrom
-3.5144 -1.2923 3.1024
7.5713 -3.3275 -0.0713
-2.5314 8.0252 2.9765
! Energy relative to the elements = -0.30 eV per atom
! Total magnetic moment = 0.00 μB/f.u.
! Theoretical density = 13.2 g/cm3